# 1
First-principles (meta-GGA SCAN) data for a PBEsol-optimized structure of Mg4CrFe, as listed in the Alexandria database.

The structure in POSCAR format:
```
Mg4CrFe
1.0
-1.4818 -4.0243 3.4207
0.1403 -5.2197 -1.6814
3.7845 -3.4270 2.0061
Mg Cr Fe
4 1 1
Direct
0.8762 0.3746 0.3746
0.3746 0.3746 0.8762
0.3746 0.3746 0.3746
0.3746 0.8762 0.3746
0.7500 0.7500 0.7500
0.0000 0.0000 0.0000
```

Formation energy   0.489 eV/atom
Energy   -8.912 eV per atom
Crystal system   cubic

---

# 2
First-principles (meta-GGA SCAN) data for a PBEsol-optimized structure of MgCr2Fe, as listed in the Alexandria database.

The structure in POSCAR format:
```
MgCr2Fe
1.0
-1.9148 -1.9111 0.7905
-0.0224 -1.0580 -2.6122
4.8215 -4.1522 1.6403
Fe Cr Mg
1 2 1
Direct
0.5000 0.5000 0.0000
0.0000 0.0000 0.2016
0.0000 0.0000 0.7984
0.5000 0.5000 0.5000
```

Formation energy   0.378 eV/atom
Energy   -14.590 eV per atom
Crystal system   tetragonal

---

Values for density of states at the Fermi level, states/eV/f.u., ordered as above
2.15; 2.17